Sr5Re: relaxed, GGA-PBE.

Cell: 6.841 6.841 5.660 Å, 90.00 90.00 120.00°
Fractional positions:
Sr: 0.000 0.712 0.000
Sr: 0.288 0.288 0.000
Sr: 0.333 0.667 0.500
Sr: 0.667 0.333 0.500
Sr: 0.712 0.000 0.000
Re: 0.000 0.000 0.500

Summary:
Density: 4.52 g/cm3
Energy relative to the elements: 727 meV/atom
D(E_F): 8.226 states/eV/f.u.
Relative energy among the computed polymorphs: 0.079 eV per atom
Calculated volume: 229.4 Å³ per cell
Space group: P-62m (189)
Total magnetic moment: 0.65 μB/cell



CoBi: relaxed, GGA-PBE.

Cell: 7.196 7.196 7.196 Å, 90.00 90.00 90.00°
Fractional positions:
Co: 0.000 0.250 0.500
Co: 0.000 0.750 0.500
Co: 0.250 0.500 0.000
Co: 0.500 0.000 0.250
Co: 0.500 0.000 0.750
Co: 0.750 0.500 0.000
Bi: 0.000 0.500 0.250
Bi: 0.000 0.500 0.750
Bi: 0.250 0.000 0.500
Bi: 0.500 0.250 0.000
Bi: 0.500 0.750 0.000
Bi: 0.750 0.000 0.500

Summary:
Density: 7.16 g/cm3
Energy relative to the elements: 834 meV/atom
D(E_F): 2.503 states/eV/f.u.
Calculated volume: 372.6 Å³ per cell
Space group: Pm-3n (223)
Total magnetic moment: 0.06 μB/cell



LiCeTl2F6: relaxed, GGA-PBE.

Cell: 6.249 6.249 6.244 Å, 119.92 119.92 59.84°
Fractional positions:
Li: 0.000 0.000 0.000
Ce: 0.500 0.500 0.500
Tl: 0.251 0.251 0.751
Tl: 0.749 0.749 0.249
F: 0.233 0.751 0.233
F: 0.242 0.242 0.257
F: 0.249 0.767 0.767
F: 0.751 0.233 0.233
F: 0.758 0.758 0.743
F: 0.767 0.249 0.767

Summary:
Density: 6.45 g/cm3
D(E_F): 2.194 states/eV/f.u.
Calculated volume: 172.4 Å³ per cell
Space group: C2/m (12)
VASP energy: -52.25 eV per formula unit
Total magnetic moment: 0.94 μB/cell



LiMnSe2: relaxed, GGA-PBE.

Cell: 5.932 5.932 5.932 Å, 143.48 143.48 52.61°
Fractional positions:
Li: 0.000 0.000 0.000
Mn: 0.250 0.750 0.500
Se: 0.500 0.500 0.000
Se: 0.750 0.250 0.500

Summary:
Density: 4.97 g/cm3
D(E_F): 1.715 states/eV/f.u.
Calculated volume: 73.5 Å³ per cell
Space group: I-4m2 (119)
VASP energy: -19.51 eV per formula unit
Total magnetic moment: 4.26 μB/cell